Entry 1:
A relaxed structure of MnPHCl2. Source: the Alexandria database, functional PBE-GGA.

Output
N(E_F) ... 0.96 states/eV/cell
Distance to the lowest polymorph of the same formula ... 0 meV per atom
Final energy ... -4.009 eV/atom
M_tot ... 3.01 μB/cell

The structure in CIF format:
```
data_MnPHCl2
_symmetry_space_group_name_H-M 'P 4/m m m'
_symmetry_Int_Tables_number 123
_symmetry_space_group_name_Hall '-P 4 2'
_cell_length_a 4.829
_cell_length_b 4.829
_cell_length_c 4.634
_cell_angle_alpha 90.00
_cell_angle_beta 90.00
_cell_angle_gamma 90.00
loop_
_atom_site_label
_atom_site_fract_x
_atom_site_fract_y
_atom_site_fract_z
Mn1 0.000 0.000 0.000
P1 0.000 0.000 0.500
H1 0.500 0.500 0.500
Cl1 0.000 0.500 0.000
```

Entry 2:
A relaxed structure of MnP2HCl. Source: the Alexandria database, functional PBE-GGA.

Output
N(E_F) ... 3.90 states/eV/cell
Distance to the lowest polymorph of the same formula ... 0 meV per atom
Final energy ... -4.379 eV/atom
M_tot ... 0.98 μB/cell

The structure in CIF format:
```
data_MnP2HCl
_symmetry_space_group_name_H-M 'P 4/m m m'
_symmetry_Int_Tables_number 123
_symmetry_space_group_name_Hall '-P 4 2'
_cell_length_a 4.237
_cell_length_b 4.237
_cell_length_c 5.126
_cell_angle_alpha 90.00
_cell_angle_beta 90.00
_cell_angle_gamma 90.00
loop_
_atom_site_label
_atom_site_fract_x
_atom_site_fract_y
_atom_site_fract_z
Mn1 0.000 0.000 0.000
P1 0.000 0.500 0.000
H1 0.500 0.500 0.500
Cl1 0.000 0.000 0.500
```

Entry 3:
A relaxed structure of MnP2HCl. Source: the Alexandria database, functional PBE-GGA.

Output
N(E_F) ... 4.00 states/eV/cell
Distance to the lowest polymorph of the same formula ... 227 meV per atom
Final energy ... -4.152 eV/atom
M_tot ... 0.06 μB/cell

The structure in CIF format:
```
data_MnP2HCl
_symmetry_space_group_name_H-M 'P 4/m m m'
_symmetry_Int_Tables_number 123
_symmetry_space_group_name_Hall '-P 4 2'
_cell_length_a 3.599
_cell_length_b 3.599
_cell_length_c 4.992
_cell_angle_alpha 90.00
_cell_angle_beta 90.00
_cell_angle_gamma 90.00
loop_
_atom_site_label
_atom_site_fract_x
_atom_site_fract_y
_atom_site_fract_z
Mn1 0.000 0.000 0.000
P1 0.000 0.500 0.500
H1 0.500 0.500 0.500
Cl1 0.500 0.500 0.000
```

Entry 4:
A relaxed structure of MnH2PbCl8. Source: the Alexandria database, functional PBE-GGA.

Output
Final energy ... -3.654 eV/atom
M_tot ... 3.05 μB/cell

The structure in CIF format:
```
data_MnH2PbCl8
_symmetry_space_group_name_H-M 'P -1'
_symmetry_Int_Tables_number 2
_cell_length_a 6.770
_cell_length_b 6.805
_cell_length_c 7.864
_cell_angle_alpha 86.92
_cell_angle_beta 86.99
_cell_angle_gamma 79.65
loop_
_symmetry_equiv_pos_as_xyz
'x,y,z'
'-x,-y,-z'
loop_
_atom_site_label
_atom_site_fract_x
_atom_site_fract_y
_atom_site_fract_z
Mn1 0.000 0.000 0.000
H1 0.250 0.262 0.719
Pb1 0.000 0.000 0.500
Cl1 0.182 0.799 0.799
Cl2 0.209 0.829 0.201
Cl3 0.212 0.225 0.957
Cl4 0.277 0.287 0.545
```

Entry 5:
A relaxed structure of Mn2HPbCl. Source: the Alexandria database, functional PBE-GGA.

Output
N(E_F) ... 3.67 states/eV/cell
Final energy ... -5.002 eV/atom
M_tot ... 7.85 μB/cell

The structure in CIF format:
```
data_Mn2HPbCl
_symmetry_space_group_name_H-M 'P 4/m m m'
_symmetry_Int_Tables_number 123
_symmetry_space_group_name_Hall '-P 4 2'
_cell_length_a 4.018
_cell_length_b 4.018
_cell_length_c 5.934
_cell_angle_alpha 90.00
_cell_angle_beta 90.00
_cell_angle_gamma 90.00
loop_
_atom_site_label
_atom_site_fract_x
_atom_site_fract_y
_atom_site_fract_z
Mn1 0.000 0.500 0.000
H1 0.000 0.000 0.000
Pb1 0.000 0.000 0.500
Cl1 0.500 0.500 0.500
```

Entry 6:
A relaxed structure of Rb2MnHCl. Source: the Alexandria database, functional PBE-GGA.

Output
N(E_F) ... 7.01 states/eV/cell
Distance to the lowest polymorph of the same formula ... 0 meV per atom
Final energy ... -3.483 eV/atom
M_tot ... 4.24 μB/cell

The structure in CIF format:
```
data_Rb2MnHCl
_symmetry_space_group_name_H-M 'P 4/m m m'
_symmetry_Int_Tables_number 123
_symmetry_space_group_name_Hall '-P 4 2'
_cell_length_a 6.054
_cell_length_b 6.054
_cell_length_c 3.943
_cell_angle_alpha 90.00
_cell_angle_beta 90.00
_cell_angle_gamma 90.00
loop_
_atom_site_label
_atom_site_fract_x
_atom_site_fract_y
_atom_site_fract_z
Rb1 0.000 0.500 0.000
Mn1 0.000 0.000 0.500
H1 0.000 0.000 0.000
Cl1 0.500 0.500 0.500
```

Entry 7:
A relaxed structure of Rb2MnHCl. Source: the Alexandria database, functional PBE-GGA.

Output
N(E_F) ... 5.25 states/eV/cell
Distance to the lowest polymorph of the same formula ... 377 meV per atom
Final energy ... -3.105 eV/atom
M_tot ... 3.88 μB/cell

The structure in CIF format:
```
data_Rb2MnHCl
_symmetry_space_group_name_H-M 'P 4/m m m'
_symmetry_Int_Tables_number 123
_symmetry_space_group_name_Hall '-P 4 2'
_cell_length_a 6.719
_cell_length_b 6.719
_cell_length_c 4.707
_cell_angle_alpha 90.00
_cell_angle_beta 90.00
_cell_angle_gamma 90.00
loop_
_atom_site_label
_atom_site_fract_x
_atom_site_fract_y
_atom_site_fract_z
Rb1 0.000 0.500 0.000
Mn1 0.000 0.000 0.000
H1 0.500 0.500 0.500
Cl1 0.000 0.000 0.500
```

Entry 8:
A relaxed structure of Rb2MnH2Cl6. Source: the Alexandria database, functional PBE-GGA.

Output
N(E_F) ... 0.00 states/eV/cell
Final energy ... -3.789 eV/atom
M_tot ... 10.00 μB/cell

The structure in CIF format:
```
data_Rb2MnH2Cl6
_symmetry_space_group_name_H-M 'C 1 2/m 1'
_symmetry_Int_Tables_number 12
_cell_length_a 11.600
_cell_length_b 7.351
_cell_length_c 8.530
_cell_angle_alpha 90.00
_cell_angle_beta 124.34
_cell_angle_gamma 90.00
loop_
_symmetry_equiv_pos_as_xyz
'x,y,z'
'-x,-y,-z'
'-x,y,-z'
'x,-y,z'
'x+1/2,y+1/2,z'
'-x+1/2,-y+1/2,-z'
'-x+1/2,y+1/2,-z'
'x+1/2,-y+1/2,z'
loop_
_atom_site_label
_atom_site_fract_x
_atom_site_fract_y
_atom_site_fract_z
Rb1 0.232 0.000 0.221
Mn1 0.000 0.500 0.000
H1 0.127 0.000 0.730
Cl1 0.033 0.264 0.825
Cl2 0.211 0.000 0.675
```

Entry 9:
A relaxed structure of MnHSCl2. Source: the Alexandria database, functional PBE-GGA.

Output
N(E_F) ... 2.32 states/eV/cell
Distance to the lowest polymorph of the same formula ... 0 meV per atom
Final energy ... -3.915 eV/atom
M_tot ... 1.99 μB/cell

The structure in CIF format:
```
data_MnHSCl2
_symmetry_space_group_name_H-M 'P 4/m m m'
_symmetry_Int_Tables_number 123
_symmetry_space_group_name_Hall '-P 4 2'
_cell_length_a 4.839
_cell_length_b 4.839
_cell_length_c 4.467
_cell_angle_alpha 90.00
_cell_angle_beta 90.00
_cell_angle_gamma 90.00
loop_
_atom_site_label
_atom_site_fract_x
_atom_site_fract_y
_atom_site_fract_z
Mn1 0.000 0.000 0.000
H1 0.500 0.500 0.500
S1 0.000 0.000 0.500
Cl1 0.000 0.500 0.000
```

Entry 10:
A relaxed structure of MnHSCl2. Source: the Alexandria database, functional PBE-GGA.

Output
N(E_F) ... 5.42 states/eV/cell
Distance to the lowest polymorph of the same formula ... 184 meV per atom
Final energy ... -3.731 eV/atom
M_tot ... 5.02 μB/cell

The structure in CIF format:
```
data_MnHSCl2
_symmetry_space_group_name_H-M 'P 4/m m m'
_symmetry_Int_Tables_number 123
_symmetry_space_group_name_Hall '-P 4 2'
_cell_length_a 5.023
_cell_length_b 5.023
_cell_length_c 3.271
_cell_angle_alpha 90.00
_cell_angle_beta 90.00
_cell_angle_gamma 90.00
loop_
_atom_site_label
_atom_site_fract_x
_atom_site_fract_y
_atom_site_fract_z
Mn1 0.000 0.000 0.000
H1 0.500 0.500 0.500
S1 0.500 0.500 0.000
Cl1 0.000 0.500 0.500
```

Entry 11:
A relaxed structure of MnH2SeCl. Source: the Alexandria database, functional PBE-GGA.

Output
N(E_F) ... 1.29 states/eV/cell
Final energy ... -3.949 eV/atom
M_tot ... 4.51 μB/cell

The structure in CIF format:
```
data_MnH2SeCl
_symmetry_space_group_name_H-M 'P 4/m m m'
_symmetry_Int_Tables_number 123
_symmetry_space_group_name_Hall '-P 4 2'
_cell_length_a 3.535
_cell_length_b 3.535
_cell_length_c 6.315
_cell_angle_alpha 90.00
_cell_angle_beta 90.00
_cell_angle_gamma 90.00
loop_
_atom_site_label
_atom_site_fract_x
_atom_site_fract_y
_atom_site_fract_z
Mn1 0.000 0.000 0.000
H1 0.000 0.500 0.500
Se1 0.500 0.500 0.000
Cl1 0.000 0.000 0.500
```

Entry 12:
A relaxed structure of MnTl2HCl6. Source: the Alexandria database, functional PBE-GGA.

Output
Final energy ... -3.712 eV/atom
M_tot ... 7.89 μB/cell

The structure in CIF format:
```
data_MnTl2HCl6
_symmetry_space_group_name_H-M 'P 1 21/c 1'
_symmetry_Int_Tables_number 14
_cell_length_a 8.101
_cell_length_b 6.310
_cell_length_c 12.637
_cell_angle_alpha 90.00
_cell_angle_beta 116.70
_cell_angle_gamma 90.00
loop_
_symmetry_equiv_pos_as_xyz
'x,y,z'
'-x,-y,-z'
'-x,y+1/2,-z+1/2'
'x,-y+1/2,z+1/2'
loop_
_atom_site_label
_atom_site_fract_x
_atom_site_fract_y
_atom_site_fract_z
Mn1 0.000 0.000 0.000
Tl1 0.319 0.069 0.791
H1 0.500 0.000 0.500
Cl1 0.088 0.726 0.399
Cl2 0.244 0.594 0.671
Cl3 0.398 0.190 0.526
```